A) Density functional theory data (GGA-PBE) for a relaxed structure of Mg6ZrCu.

Unit cell a=4.879 b=5.958 c=11.491 alpha=90.00 beta=90.00 gamma=90.00
Atoms (fractional coordinates):
Mg 0.000 0.000 0.000
Mg 0.000 0.000 0.469
Mg 0.000 0.248 0.745
Mg 0.000 0.252 0.245
Mg 0.000 0.500 0.500
Mg 0.000 0.500 0.969
Mg 0.000 0.748 0.245
Mg 0.000 0.752 0.745
Mg 0.500 0.250 0.096
Mg 0.500 0.250 0.596
Mg 0.500 0.750 0.096
Mg 0.500 0.750 0.596
Zr 0.500 0.000 0.848
Zr 0.500 0.500 0.348
Cu 0.500 0.000 0.313
Cu 0.500 0.500 0.813

Size of the total moment = 0.00 μB per formula unit
Space-group type = No. 38

B) Density functional theory data (GGA-PBE) for a relaxed structure of Mg6ZrCu.

Unit cell a=4.879 b=6.069 c=11.269 alpha=90.00 beta=90.00 gamma=90.00
Atoms (fractional coordinates):
Mg 0.000 0.000 0.000
Mg 0.000 0.244 0.744
Mg 0.000 0.256 0.244
Mg 0.000 0.500 0.500
Mg 0.000 0.744 0.244
Mg 0.000 0.756 0.744
Mg 0.500 0.000 0.155
Mg 0.500 0.247 0.394
Mg 0.500 0.253 0.894
Mg 0.500 0.500 0.655
Mg 0.500 0.747 0.894
Mg 0.500 0.753 0.394
Zr 0.500 0.000 0.631
Zr 0.500 0.500 0.131
Cu 0.000 0.000 0.498
Cu 0.000 0.500 0.998

Size of the total moment = 0.00 μB per formula unit
Space-group type = No. 38

Stability check: which of them is least stable? A).

A) Density functional theory data (GGA-PBE) for a relaxed structure of Mn5Cu.

Unit cell a=4.636 b=4.636 c=4.636 alpha=60.00 beta=60.00 gamma=60.00
Atoms (fractional coordinates):
Mn 0.000 0.000 0.000
Mn 0.376 0.376 0.376
Mn 0.376 0.376 0.873
Mn 0.376 0.873 0.376
Mn 0.873 0.376 0.376
Cu 0.750 0.750 0.750

Size of the total moment = 0.75 μB per formula unit
Space-group type = No. 216

B) Density functional theory data (GGA-PBE) for a relaxed structure of Mn5Cu.

Unit cell a=3.451 b=11.153 c=3.573 alpha=90.00 beta=90.00 gamma=90.00
Atoms (fractional coordinates):
Mn 0.000 0.000 0.000
Mn 0.000 0.169 0.500
Mn 0.000 0.335 0.000
Mn 0.000 0.665 0.000
Mn 0.000 0.831 0.500
Mn 0.500 0.165 0.000
Mn 0.500 0.331 0.500
Mn 0.500 0.500 0.000
Mn 0.500 0.669 0.500
Mn 0.500 0.835 0.000
Cu 0.000 0.500 0.500
Cu 0.500 0.000 0.500

Size of the total moment = 3.54 μB per formula unit
Space-group type = No. 65

Stability check: which of them is least stable? A).

A) Density functional theory data (GGA-PBE) for a relaxed structure of Mn5Cu.

Unit cell a=4.547 b=4.547 c=4.059 alpha=90.00 beta=90.00 gamma=120.00
Atoms (fractional coordinates):
Mn 0.000 0.500 0.000
Mn 0.333 0.667 0.500
Mn 0.500 0.000 0.000
Mn 0.500 0.500 0.000
Mn 0.667 0.333 0.500
Cu 0.000 0.000 0.500

Size of the total moment = 1.43 μB per formula unit
Space-group type = No. 191

B) Density functional theory data (GGA-PBE) for a relaxed structure of Mn5Cu.

Unit cell a=9.214 b=2.523 c=5.944 alpha=90.00 beta=104.94 gamma=90.00
Atoms (fractional coordinates):
Mn 0.000 0.000 0.000
Mn 0.047 0.000 0.621
Mn 0.219 0.500 0.947
Mn 0.332 0.000 0.685
Mn 0.385 0.000 0.273
Mn 0.500 0.500 0.000
Mn 0.547 0.500 0.621
Mn 0.719 0.000 0.947
Mn 0.832 0.500 0.685
Mn 0.885 0.500 0.273
Cu 0.164 0.500 0.344
Cu 0.664 0.000 0.344

Size of the total moment = 1.11 μB per formula unit
Space-group type = No. 8

C) Density functional theory data (GGA-PBE) for a relaxed structure of Mn5Cu.

Unit cell a=4.040 b=2.501 c=13.075 alpha=90.00 beta=90.00 gamma=90.00
Atoms (fractional coordinates):
Mn 0.000 0.000 0.000
Mn 0.000 0.000 0.326
Mn 0.000 0.000 0.662
Mn 0.000 0.500 0.162
Mn 0.000 0.500 0.500
Mn 0.000 0.500 0.826
Mn 0.500 0.000 0.218
Mn 0.500 0.000 0.557
Mn 0.500 0.500 0.057
Mn 0.500 0.500 0.718
Cu 0.500 0.000 0.887
Cu 0.500 0.500 0.387

Size of the total moment = 0.63 μB per formula unit
Space-group type = No. 38

Stability check: which of them is least stable? A).

A) Density functional theory data (GGA-PBE) for a relaxed structure of Mn2CuMo.

Unit cell a=8.995 b=2.719 c=4.477 alpha=90.00 beta=101.52 gamma=90.00
Atoms (fractional coordinates):
Mn 0.000 0.000 0.000
Mn 0.246 0.500 0.268
Mn 0.500 0.500 0.000
Mn 0.746 0.000 0.268
Cu 0.491 0.000 0.489
Cu 0.991 0.500 0.489
Mo 0.243 0.000 0.762
Mo 0.743 0.500 0.762

Size of the total moment = 4.94 μB per formula unit
Space-group type = No. 8

B) Density functional theory data (GGA-PBE) for a relaxed structure of Mn2CuMo.

Unit cell a=2.614 b=3.737 c=5.298 alpha=90.00 beta=90.00 gamma=90.00
Atoms (fractional coordinates):
Mn 0.000 0.000 0.000
Mn 0.500 0.500 0.229
Cu 0.500 0.500 0.754
Mo 0.000 0.000 0.490

Size of the total moment = 0.29 μB per formula unit
Space-group type = No. 25

C) Density functional theory data (GGA-PBE) for a relaxed structure of Mn2CuMo.

Unit cell a=6.607 b=6.607 c=5.208 alpha=90.00 beta=90.00 gamma=90.00
Atoms (fractional coordinates):
Mn 0.247 0.250 0.125
Mn 0.250 0.747 0.375
Mn 0.250 0.753 0.875
Mn 0.253 0.250 0.625
Mn 0.747 0.750 0.625
Mn 0.750 0.247 0.875
Mn 0.750 0.253 0.375
Mn 0.753 0.750 0.125
Cu 0.000 0.000 0.500
Cu 0.000 0.500 0.750
Cu 0.500 0.000 0.250
Cu 0.500 0.500 0.000
Mo 0.000 0.000 0.000
Mo 0.000 0.500 0.250
Mo 0.500 0.000 0.750
Mo 0.500 0.500 0.500

Size of the total moment = 3.91 μB per formula unit
Space-group type = No. 122

D) Density functional theory data (GGA-PBE) for a relaxed structure of Mn2CuMo.

Unit cell a=2.547 b=4.207 c=4.787 alpha=90.00 beta=95.73 gamma=90.00
Atoms (fractional coordinates):
Mn 0.233 0.000 0.243
Mn 0.767 0.000 0.757
Cu 0.500 0.500 0.000
Mo 0.000 0.500 0.500

Size of the total moment = 2.72 μB per formula unit
Space-group type = No. 10

Stability check: which of them is least stable? C).

A) Density functional theory data (GGA-PBE) for a relaxed structure of Mn2CuMo.

Unit cell a=2.670 b=2.670 c=26.324 alpha=90.00 beta=90.00 gamma=120.00
Atoms (fractional coordinates):
Mn 0.000 0.000 0.247
Mn 0.000 0.000 0.753
Mn 0.333 0.667 0.420
Mn 0.333 0.667 0.913
Mn 0.667 0.333 0.087
Mn 0.667 0.333 0.580
Cu 0.000 0.000 0.500
Cu 0.333 0.667 0.167
Cu 0.667 0.333 0.833
Mo 0.000 0.000 0.000
Mo 0.333 0.667 0.667
Mo 0.667 0.333 0.333

Size of the total moment = 5.17 μB per formula unit
Space-group type = No. 166

B) Density functional theory data (GGA-PBE) for a relaxed structure of Mn2CuMo.

Unit cell a=3.869 b=3.869 c=3.399 alpha=90.00 beta=90.00 gamma=90.00
Atoms (fractional coordinates):
Mn 0.000 0.500 0.000
Mn 0.500 0.000 0.000
Cu 0.000 0.000 0.500
Mo 0.500 0.500 0.500

Size of the total moment = 2.91 μB per formula unit
Space-group type = No. 123

Stability check: which of them is least stable? A).

A) Density functional theory data (GGA-PBE) for a relaxed structure of Mn2CuMo.

Unit cell a=5.934 b=5.934 c=5.934 alpha=90.00 beta=90.00 gamma=90.00
Atoms (fractional coordinates):
Mn 0.000 0.000 0.000
Mn 0.000 0.500 0.500
Mn 0.250 0.250 0.250
Mn 0.250 0.750 0.750
Mn 0.500 0.000 0.500
Mn 0.500 0.500 0.000
Mn 0.750 0.250 0.750
Mn 0.750 0.750 0.250
Cu 0.000 0.000 0.500
Cu 0.000 0.500 0.000
Cu 0.500 0.000 0.000
Cu 0.500 0.500 0.500
Mo 0.250 0.250 0.750
Mo 0.250 0.750 0.250
Mo 0.750 0.250 0.250
Mo 0.750 0.750 0.750

Size of the total moment = 3.12 μB per formula unit
Space-group type = No. 216

B) Density functional theory data (GGA-PBE) for a relaxed structure of Mn2CuMo.

Unit cell a=2.635 b=2.635 c=7.526 alpha=90.00 beta=90.00 gamma=90.00
Atoms (fractional coordinates):
Mn 0.000 0.000 0.000
Mn 0.500 0.500 0.216
Cu 0.500 0.500 0.754
Mo 0.000 0.000 0.485

Size of the total moment = 1.03 μB per formula unit
Space-group type = No. 99

C) Density functional theory data (GGA-PBE) for a relaxed structure of Mn2CuMo.

Unit cell a=3.895 b=3.895 c=6.857 alpha=90.00 beta=90.00 gamma=90.00
Atoms (fractional coordinates):
Mn 0.000 0.500 0.250
Mn 0.000 0.500 0.750
Mn 0.500 0.000 0.250
Mn 0.500 0.000 0.750
Cu 0.000 0.000 0.000
Cu 0.500 0.500 0.500
Mo 0.000 0.000 0.500
Mo 0.500 0.500 0.000

Size of the total moment = 3.86 μB per formula unit
Space-group type = No. 139

D) Density functional theory data (GGA-PBE) for a relaxed structure of Mn2CuMo.

Unit cell a=3.134 b=4.172 c=8.161 alpha=90.00 beta=90.00 gamma=90.00
Atoms (fractional coordinates):
Mn 0.000 0.000 0.243
Mn 0.000 0.000 0.757
Mn 0.500 0.500 0.243
Mn 0.500 0.500 0.757
Cu 0.000 0.500 0.000
Cu 0.500 0.000 0.000
Mo 0.000 0.500 0.500
Mo 0.500 0.000 0.500

Size of the total moment = 4.65 μB per formula unit
Space-group type = No. 65

Stability check: which of them is least stable? A).

A) Density functional theory data (GGA-PBE) for a relaxed structure of MnCuMo.

Unit cell a=3.664 b=3.749 c=11.836 alpha=90.00 beta=90.00 gamma=90.00
Atoms (fractional coordinates):
Mn 0.000 0.000 0.000
Mn 0.000 0.500 0.500
Mn 0.500 0.000 0.500
Mn 0.500 0.500 0.000
Cu 0.000 0.000 0.655
Cu 0.000 0.500 0.155
Cu 0.500 0.000 0.155
Cu 0.500 0.500 0.655
Mo 0.000 0.000 0.328
Mo 0.000 0.500 0.828
Mo 0.500 0.000 0.828
Mo 0.500 0.500 0.328

Size of the total moment = 2.64 μB per formula unit
Space-group type = No. 42

B) Density functional theory data (GGA-PBE) for a relaxed structure of MnCuMo.

Unit cell a=2.916 b=13.155 c=4.079 alpha=90.00 beta=90.00 gamma=90.00
Atoms (fractional coordinates):
Mn 0.000 0.071 0.250
Mn 0.000 0.929 0.750
Mn 0.500 0.429 0.750
Mn 0.500 0.571 0.250
Cu 0.000 0.265 0.750
Cu 0.000 0.735 0.250
Cu 0.500 0.235 0.250
Cu 0.500 0.765 0.750
Mo 0.000 0.411 0.250
Mo 0.000 0.589 0.750
Mo 0.500 0.089 0.750
Mo 0.500 0.911 0.250

Size of the total moment = 0.00 μB per formula unit
Space-group type = No. 63

Stability check: which of them is least stable? A).

A) Density functional theory data (GGA-PBE) for a relaxed structure of MnCuMo.

Unit cell a=3.113 b=3.113 c=8.272 alpha=90.00 beta=90.00 gamma=90.00
Atoms (fractional coordinates):
Mn 0.000 0.000 0.000
Mn 0.500 0.500 0.500
Cu 0.000 0.000 0.331
Cu 0.500 0.500 0.831
Mo 0.000 0.000 0.650
Mo 0.500 0.500 0.150

Size of the total moment = 0.94 μB per formula unit
Space-group type = No. 107

B) Density functional theory data (GGA-PBE) for a relaxed structure of MnCuMo.

Unit cell a=5.681 b=5.681 c=5.681 alpha=90.00 beta=90.00 gamma=90.00
Atoms (fractional coordinates):
Mn 0.000 0.000 0.000
Mn 0.000 0.500 0.500
Mn 0.500 0.000 0.500
Mn 0.500 0.500 0.000
Cu 0.250 0.250 0.750
Cu 0.250 0.750 0.250
Cu 0.750 0.250 0.250
Cu 0.750 0.750 0.750
Mo 0.250 0.250 0.250
Mo 0.250 0.750 0.750
Mo 0.750 0.250 0.750
Mo 0.750 0.750 0.250

Size of the total moment = 0.50 μB per formula unit
Space-group type = No. 216

Stability check: which of them is least stable? B).

A) Density functional theory data (GGA-PBE) for a relaxed structure of MnCu2Mo.

Unit cell a=4.904 b=8.280 c=2.510 alpha=90.00 beta=90.25 gamma=90.00
Atoms (fractional coordinates):
Mn 0.000 0.000 0.000
Mn 0.500 0.500 0.000
Cu 0.250 0.250 0.500
Cu 0.250 0.750 0.500
Cu 0.750 0.250 0.500
Cu 0.750 0.750 0.500
Mo 0.000 0.500 0.000
Mo 0.500 0.000 0.000

Size of the total moment = 0.00 μB per formula unit
Space-group type = No. 12

B) Density functional theory data (GGA-PBE) for a relaxed structure of MnCu2Mo.

Unit cell a=5.958 b=5.958 c=5.958 alpha=90.00 beta=90.00 gamma=90.00
Atoms (fractional coordinates):
Mn 0.000 0.000 0.000
Mn 0.000 0.500 0.500
Mn 0.500 0.000 0.500
Mn 0.500 0.500 0.000
Cu 0.000 0.000 0.500
Cu 0.000 0.500 0.000
Cu 0.250 0.250 0.250
Cu 0.250 0.750 0.750
Cu 0.500 0.000 0.000
Cu 0.500 0.500 0.500
Cu 0.750 0.250 0.750
Cu 0.750 0.750 0.250
Mo 0.250 0.250 0.750
Mo 0.250 0.750 0.250
Mo 0.750 0.250 0.250
Mo 0.750 0.750 0.750

Size of the total moment = 1.15 μB per formula unit
Space-group type = No. 216

C) Density functional theory data (GGA-PBE) for a relaxed structure of MnCu2Mo.

Unit cell a=3.736 b=3.736 c=7.419 alpha=90.00 beta=90.00 gamma=90.00
Atoms (fractional coordinates):
Mn 0.000 0.000 0.000
Mn 0.500 0.500 0.500
Cu 0.000 0.000 0.500
Cu 0.000 0.500 0.250
Cu 0.500 0.000 0.750
Cu 0.500 0.500 0.000
Mo 0.000 0.500 0.750
Mo 0.500 0.000 0.250

Size of the total moment = 0.97 μB per formula unit
Space-group type = No. 119

Stability check: which of them is least stable? B).

A) Density functional theory data (GGA-PBE) for a relaxed structure of MnCu2Mo.

Unit cell a=3.055 b=3.055 c=5.633 alpha=90.00 beta=90.00 gamma=90.00
Atoms (fractional coordinates):
Mn 0.000 0.000 0.000
Cu 0.000 0.000 0.523
Cu 0.500 0.500 0.741
Mo 0.500 0.500 0.233

Size of the total moment = 1.47 μB per formula unit
Space-group type = No. 99

B) Density functional theory data (GGA-PBE) for a relaxed structure of MnCu2Mo.

Unit cell a=2.682 b=2.682 c=7.443 alpha=90.00 beta=90.00 gamma=90.00
Atoms (fractional coordinates):
Mn 0.000 0.000 0.000
Cu 0.500 0.500 0.238
Cu 0.500 0.500 0.762
Mo 0.000 0.000 0.500

Size of the total moment = 3.70 μB per formula unit
Space-group type = No. 123

Stability check: which of them is least stable? B).